[1]
VASP calculation (PBE) on a relaxed Ce3Ga2Au9 crystal.

It has space group Immm (No. 71), with a = 4.5173 Å, b = 10.2427 Å, c = 12.9959 Å, α = 90.00°, β = 90.00° and γ = 90.00°. The distinct sites, in fractional coordinates, are Ce at (0.0000, 0.0000, 0.0000), Ce at (0.0000, 0.0000, 0.2988), Ga at (0.0000, 0.1906, 0.5000), Au at (0.0000, 0.2878, 0.1331), Au at (0.0000, 0.3677, 0.3469) and Au at (0.0000, 0.5000, 0.0000).

For the formation energy, the calculation gives -7.13 eV/f.u. The size of the total moment comes out at 0.206 μB per atom.

***

[2]
VASP calculation (PBE) on a relaxed Dy5YPd2 crystal.

It has space group Cmcm (No. 63), with a = 3.7622 Å, b = 13.1112 Å, c = 18.2082 Å, α = 90.00°, β = 90.00° and γ = 90.00°. The distinct sites, in fractional coordinates, are Dy at (0.0000, 0.0532, 0.0925), Dy at (0.0000, 0.3353, 0.0512), Dy at (0.0000, 0.4181, 0.7500), Y at (0.0000, 0.3145, 0.2500) and Pd at (0.0000, 0.2774, 0.6339).

For the formation energy, the calculation gives -2.99 eV/f.u. The size of the total moment comes out at 0.000 μB per atom.

***

[3]
VASP calculation (PBE) on a relaxed CrTeW2 crystal.

It has space group Pmmm (No. 47), with a = 3.0272 Å, b = 4.1532 Å, c = 5.2908 Å, α = 90.00°, β = 90.00° and γ = 90.00°. The distinct sites, in fractional coordinates, are Cr at (0.0000, 0.0000, 0.0000), Te at (0.0000, 0.0000, 0.5000) and W at (0.5000, 0.5000, 0.2332).

As for the uncorrected formation energy: 16.48 kcal/mol of atoms. The size of the total moment comes out at 0.171 μB per atom.